(1)
! SrScSbC2 (GGA-PBE, optimized geometry); values from VASP
! - Electronic total energy: -3.98 eV/atom
! - Calculated density: 3.8 Mg/m³
! - SG: P4/mmm, No. 123
&SYSTEM
  ibrav = 0, nat = 5, ntyp = 4
/
ATOMIC_SPECIES
Sr 87.62 Sr.upf
Sc 44.96 Sc.upf
Sb 121.76 Sb.upf
C 12.01 C.upf
CELL_PARAMETERS angstrom
4.499 0.000 0.000
0.000 4.499 0.000
0.000 0.000 6.014
ATOMIC_POSITIONS angstrom
Sr 0.000 0.000 0.000
Sc 2.249 2.249 3.007
Sb 0.000 0.000 3.007
C 0.000 2.249 0.000
C 2.249 0.000 0.000

---

(2)
! BaTa (GGA-PBE, optimized geometry); values from VASP
! - Formation energy: 1.94 eV per formula unit
! - Calculated density: 8.2 Mg/m³
! - Polymorph energy (0 for the lowest one): 451 meV/atom
! - SG: C2/m, No. 12
&SYSTEM
  ibrav = 0, nat = 4, ntyp = 2
/
ATOMIC_SPECIES
Ba 137.33 Ba.upf
Ta 180.95 Ta.upf
CELL_PARAMETERS angstrom
6.661 -1.744 0.000
6.661 1.744 0.000
-2.712 0.000 5.565
ATOMIC_POSITIONS angstrom
Ba 0.399 0.000 1.936
Ba 10.210 0.000 3.629
Ta 4.151 0.000 0.471
Ta 6.459 0.000 5.094

---

(3)
! CdSbRu2 (GGA-PBE, optimized geometry); values from VASP
! - Electronic total energy: -5.49 eV/atom
! - Calculated density: 10.5 Mg/m³
! - SG: I-4m2, No. 119
&SYSTEM
  ibrav = 0, nat = 4, ntyp = 3
/
ATOMIC_SPECIES
Cd 112.41 Cd.upf
Sb 121.76 Sb.upf
Ru 101.07 Ru.upf
CELL_PARAMETERS angstrom
-1.987 1.987 4.357
1.987 -1.987 4.357
1.987 1.987 -4.357
ATOMIC_POSITIONS angstrom
Cd 0.000 0.000 0.000
Sb 0.000 1.987 2.179
Ru 1.987 0.000 2.179
Ru 0.000 0.000 4.357

---

(4)
! Pr2SnSb (GGA-PBE, optimized geometry); values from VASP
! - Calculated density: 7.2 Mg/m³
! - Polymorph energy (0 for the lowest one): 235 meV/atom
! - SG: P4/mmm, No. 123
&SYSTEM
  ibrav = 0, nat = 4, ntyp = 3
/
ATOMIC_SPECIES
Pr 140.91 Pr.upf
Sn 118.71 Sn.upf
Sb 121.76 Sb.upf
CELL_PARAMETERS angstrom
3.841 0.000 0.000
0.000 3.841 0.000
0.000 0.000 8.202
ATOMIC_POSITIONS angstrom
Pr 0.000 0.000 1.924
Pr 0.000 0.000 6.277
Sn 1.921 1.921 4.101
Sb 1.921 1.921 0.000

---

(5)
! Fe2PRh (GGA-PBE, optimized geometry); values from VASP
! - Formation energy: 2.35 eV per formula unit
! - Calculated density: 6.2 Mg/m³
! - SG: I-42d, No. 122
&SYSTEM
  ibrav = 0, nat = 8, ntyp = 3
/
ATOMIC_SPECIES
Fe 55.84 Fe.upf
P 30.97 P.upf
Rh 102.91 Rh.upf
CELL_PARAMETERS angstrom
-2.518 2.518 5.194
2.518 -2.518 5.194
2.518 2.518 -5.194
ATOMIC_POSITIONS angstrom
Fe 3.777 1.137 -1.299
Fe 1.137 1.259 1.299
Fe -1.259 1.381 3.896
Fe 1.381 1.259 6.493
P 0.000 0.000 0.000
P 0.000 2.518 2.597
Rh 2.518 0.000 2.597
Rh 0.000 0.000 5.194

---

(6)
! AcBiAs (GGA-PBE, optimized geometry); values from VASP
! - Formation energy: -2.15 eV per formula unit
! - Calculated density: 8.1 Mg/m³
! - Polymorph energy (0 for the lowest one): 0 meV/atom
! - SG: P-1, No. 2
&SYSTEM
  ibrav = 0, nat = 6, ntyp = 3
/
ATOMIC_SPECIES
Ac 227.00 Ac.upf
Bi 208.98 Bi.upf
As 74.92 As.upf
CELL_PARAMETERS angstrom
4.733 0.000 0.000
-0.256 5.962 0.000
-0.704 -1.498 7.409
ATOMIC_POSITIONS angstrom
Ac 0.874 0.782 2.267
Ac 2.898 3.682 5.142
Bi 0.294 0.921 6.376
Bi 3.479 3.544 1.032
As 0.577 3.774 3.140
As 3.196 0.690 4.269

---

(7)
! TlAgPd (GGA-PBE, optimized geometry); values from VASP
! - Formation energy: 0.01 eV per formula unit
! - Calculated density: 12.0 Mg/m³
! - Polymorph energy (0 for the lowest one): 54 meV/atom
! - SG: P3m1, No. 156
&SYSTEM
  ibrav = 0, nat = 3, ntyp = 3
/
ATOMIC_SPECIES
Tl 204.38 Tl.upf
Ag 107.87 Ag.upf
Pd 106.42 Pd.upf
CELL_PARAMETERS angstrom
4.660 0.000 0.000
-2.330 4.036 0.000
0.000 0.000 3.084
ATOMIC_POSITIONS angstrom
Tl 0.000 0.000 0.000
Ag 0.000 2.690 1.977
Pd 2.330 1.345 0.738

---

(8)
! Ba2YTl (GGA-PBE, optimized geometry); values from VASP
! - Formation energy: 0.03 eV per formula unit
! - Calculated density: 6.2 Mg/m³
! - Polymorph energy (0 for the lowest one): 126 meV/atom
! - SG: I4/mmm, No. 139
&SYSTEM
  ibrav = 0, nat = 4, ntyp = 3
/
ATOMIC_SPECIES
Ba 137.33 Ba.upf
Y 88.91 Y.upf
Tl 204.38 Tl.upf
CELL_PARAMETERS angstrom
-2.620 2.620 5.562
2.620 -2.620 5.562
2.620 2.620 -5.562
ATOMIC_POSITIONS angstrom
Ba 2.620 0.000 2.781
Ba 0.000 2.620 2.781
Y 0.000 0.000 0.000
Tl 0.000 0.000 5.562

---

Among the records above, which one has the lowest calculated density?
SrScSbC2

---

Which of these has the lowest calculated density?
SrScSbC2

---

What did the eighth record say?
! Ba2YTl (GGA-PBE, optimized geometry); values from VASP
! - Formation energy: 0.03 eV per formula unit
! - Calculated density: 6.2 Mg/m³
! - Polymorph energy (0 for the lowest one): 126 meV/atom
! - SG: I4/mmm, No. 139
&SYSTEM
  ibrav = 0, nat = 4, ntyp = 3
/
ATOMIC_SPECIES
Ba 137.33 Ba.upf
Y 88.91 Y.upf
Tl 204.38 Tl.upf
CELL_PARAMETERS angstrom
-2.620 2.620 5.562
2.620 -2.620 5.562
2.620 2.620 -5.562
ATOMIC_POSITIONS angstrom
Ba 2.620 0.000 2.781
Ba 0.000 2.620 2.781
Y 0.000 0.000 0.000
Tl 0.000 0.000 5.562

---

What did the first record say?
! SrScSbC2 (GGA-PBE, optimized geometry); values from VASP
! - Electronic total energy: -3.98 eV/atom
! - Calculated density: 3.8 Mg/m³
! - SG: P4/mmm, No. 123
&SYSTEM
  ibrav = 0, nat = 5, ntyp = 4
/
ATOMIC_SPECIES
Sr 87.62 Sr.upf
Sc 44.96 Sc.upf
Sb 121.76 Sb.upf
C 12.01 C.upf
CELL_PARAMETERS angstrom
4.499 0.000 0.000
0.000 4.499 0.000
0.000 0.000 6.014
ATOMIC_POSITIONS angstrom
Sr 0.000 0.000 0.000
Sc 2.249 2.249 3.007
Sb 0.000 0.000 3.007
C 0.000 2.249 0.000
C 2.249 0.000 0.000